(1)
! SrTlSi2 (PBE, relaxed); values from VASP
! SG: Cmmm
! excess energy over the best structure of this formula in the dataset: 0.358 eV/atom
! formation energy from raw total energies: 0.97 eV per formula unit
&SYSTEM
  ibrav = 0, nat = 4, ntyp = 3
/
ATOMIC_SPECIES
Si 28.09 Si.upf
Sr 87.62 Sr.upf
Tl 204.38 Tl.upf
ATOMIC_POSITIONS angstrom
Si 0.000 0.000 0.000
Si 2.033 2.666 0.000
Sr 2.730 0.026 1.717
Tl -0.696 2.639 1.717
CELL_PARAMETERS angstrom
5.459 0.053 0.000
-1.393 5.279 0.000
0.000 0.000 3.434



(2)
! Rb3Re (PBE, relaxed); values from VASP
! SG: Pm-3m
! excess energy over the best structure of this formula in the dataset: 0.019 eV/atom
&SYSTEM
  ibrav = 0, nat = 4, ntyp = 2
/
ATOMIC_SPECIES
Re 186.21 Re.upf
Rb 85.47 Rb.upf
ATOMIC_POSITIONS angstrom
Re 0.000 0.000 0.000
Rb 0.000 2.942 2.942
Rb 2.942 2.942 0.000
Rb 2.942 0.000 2.942
CELL_PARAMETERS angstrom
5.884 0.000 0.000
0.000 5.884 0.000
0.000 0.000 5.884



(3)
! Li3CeRh4O12 (PBE, relaxed); values from VASP
! SG: Im-3
! formation energy from raw total energies: -26.55 eV per formula unit
&SYSTEM
  ibrav = 0, nat = 20, ntyp = 4
/
ATOMIC_SPECIES
Li 6.94 Li.upf
Ce 140.12 Ce.upf
Rh 102.91 Rh.upf
O 16.00 O.upf
ATOMIC_POSITIONS angstrom
Li 3.720 0.431 -0.345
Li 0.548 -3.140 1.996
Li 0.059 2.024 3.169
Ce 0.000 0.000 0.000
Rh -1.556 -0.773 2.755
Rh 2.164 -0.343 2.410
Rh 2.105 -2.367 -0.759
Rh 1.615 2.797 0.414
O 2.965 -3.686 0.472
O 1.362 3.001 4.348
O 3.014 -2.028 3.067
O 0.793 -3.730 3.902
O -1.104 -0.213 4.619
O 2.385 -0.825 0.483
O 0.344 -1.158 2.268
O 5.432 -0.473 0.200
O 1.314 1.343 1.753
O 3.534 3.045 0.918
O 1.943 0.140 4.337
O 3.983 0.473 2.552
CELL_PARAMETERS angstrom
-3.112 -1.546 5.509
4.209 -4.734 -1.518
3.231 5.595 0.829



(4)
! KTlSi2 (PBE, relaxed); values from VASP
! SG: P4/mmm
! excess energy over the best structure of this formula in the dataset: 0.501 eV/atom
! formation energy from raw total energies: 2.45 eV per formula unit
&SYSTEM
  ibrav = 0, nat = 4, ntyp = 3
/
ATOMIC_SPECIES
K 39.10 K.upf
Si 28.09 Si.upf
Tl 204.38 Tl.upf
ATOMIC_POSITIONS angstrom
K 2.394 0.000 2.249
Si 0.000 0.000 0.000
Si 0.000 2.249 2.249
Tl 2.394 2.249 0.000
CELL_PARAMETERS angstrom
4.788 0.000 0.000
0.000 4.497 0.000
0.000 0.000 4.497



Number 1: total magnetization 0.0 μB per cell. Number 2: total magnetization 3.8 μB per cell. Number 3: total magnetization 4.9 μB per cell. Number 4: total magnetization 0.0 μB per cell.